(1)
CePm4Te6: relaxed, PBE.

Properties
N(E_F) = 41.859 states/eV/cell
uncorrected formation energy = -1.42 eV per atom

abc: 4.394 14.624 22.718
angles: 90.00 90.00 90.00
Space group Cmcm (No. 63)
Asymmetric unit:
Ce (0.000, 0.157, 0.250) x4
Pm (0.000, 0.087, 0.626) x8
Pm (0.000, 0.357, 0.537) x8
Te (0.000, 0.000, 0.000) x4
Te (0.000, 0.184, 0.750) x4
Te (0.000, 0.268, 0.094) x8
Te (0.000, 0.446, 0.666) x8

---

(2)
La9In3O2: relaxed, PBE.

Properties
N(E_F) = 10.455 states/eV/cell
uncorrected formation energy = -1.06 eV per atom

abc: 7.2407 7.2407 8.8694
angles: 90.00 90.00 120.00
Space group P-3m1 (No. 164)
Asymmetric unit:
La (0.0000, 0.5000, 0.0000) x3
La (0.1692, 0.3384, 0.6693) x6
In (0.0000, 0.0000, 0.0000) x1
In (0.3333, 0.6667, 0.3335) x2
O (0.3333, 0.6667, 0.8415) x2

---

(3)
La2Pm7Ho: relaxed, PBE.

Properties
energy relative to the elements = 0.14 eV/atom
N(E_F) = 32.105 states/eV/cell

abc: 6.764 29.503 3.507
angles: 90.00 90.00 90.00
Space group Cmmm (No. 65)
Asymmetric unit:
La (0.000, 0.204, 0.000) x4
Pm (0.000, 0.000, 0.000) x2
Pm (0.000, 0.313, 0.500) x4
Pm (0.244, 0.403, 0.000) x8
Ho (0.000, 0.500, 0.500) x2

---

(4)
InHgRu2: relaxed, PBE.

Properties
energy relative to the elements = 0.45 eV/atom
N(E_F) = 4.813 states/eV/cell
energy relative to the lowest polymorph listed for this composition = 0.218 eV/atom

abc: 4.741 3.020 5.166
angles: 90.00 110.63 90.00
Space group P2/m (No. 10)
Asymmetric unit:
In (0.000, 0.000, 0.000) x1
Hg (0.000, 0.500, 0.500) x1
Ru (0.500, 0.000, 0.500) x1
Ru (0.500, 0.500, 0.000) x1

---

(5)
CaV2InP: relaxed, PBE.

Properties
energy relative to the elements = 1.58 eV/atom
N(E_F) = 5.887 states/eV/cell

abc: 5.295 5.295 5.032
angles: 90.00 90.00 90.00
Space group P4/mmm (No. 123)
Asymmetric unit:
Ca (0.000, 0.000, 0.000) x1
V (0.000, 0.500, 0.000) x2
In (0.500, 0.500, 0.500) x1
P (0.000, 0.000, 0.500) x1

---

(6)
Mg2TlCl: relaxed, PBE.

Properties
N(E_F) = 2.261 states/eV/cell
uncorrected formation energy = -0.49 eV per atom
energy relative to the lowest polymorph listed for this composition = 0.024 eV/atom

abc: 3.5488 3.5488 26.1550
angles: 90.00 90.00 120.00
Space group R-3m (No. 166, hexagonal axes)
Asymmetric unit:
Mg (0.0000, 0.0000, 0.2451) x6
Tl (0.0000, 0.0000, 0.0000) x3
Cl (0.0000, 0.0000, 0.5000) x3

---

(7)
Tb4Sm3Sc3: relaxed, PBE.

Properties
energy relative to the elements = 0.09 eV/atom
N(E_F) = 20.045 states/eV/cell

abc: 3.651 12.877 13.004
angles: 90.00 90.00 90.00
Space group Amm2 (No. 38)
Asymmetric unit:
Tb (0.000, 0.000, 0.000) x2
Tb (0.000, 0.000, 0.252) x2
Tb (0.000, 0.131, 0.614) x4
Sm (0.000, 0.246, 0.372) x4
Sm (0.500, 0.000, 0.791) x2
Sc (0.500, 0.000, 0.450) x2
Sc (0.500, 0.168, 0.123) x4

---

(8)
AgHg2Pt: relaxed, PBE.

Properties
energy relative to the elements = 0.07 eV/atom
N(E_F) = 2.853 states/eV/cell
energy relative to the lowest polymorph listed for this composition = 0.007 eV/atom

abc: 4.490 4.490 7.532
angles: 90.00 90.00 90.00
Space group I4/mmm (No. 139)
Asymmetric unit:
Ag (0.000, 0.000, 0.000) x2
Hg (0.000, 0.500, 0.250) x4
Pt (0.000, 0.000, 0.500) x2

---

| no. | total energy (Ry/atom) |
| --- | --- |
| 1 | -0.397 |
| 2 | -0.406 |
| 3 | -0.340 |
| 4 | -0.364 |
| 5 | -0.301 |
| 6 | -0.172 |
| 7 | -0.373 |
| 8 | -0.169 |